TbCeTe2 | PBE | optimized geometry

Results
* DFT total energy: -5.497 eV/atom
* symmetry: Pbcm (57)
* energy relative to the lowest polymorph listed for this composition: 0.066 eV per atom
* Fermi-level density of states: 34.3 states/eV/cell
* formation energy from raw total energies: -1.2854 eV/atom

abc: 7.801 7.387 8.583
angles: 90.00 90.00 90.00
Each line ends with the local moment (μB).
Fractional coordinates of all 16 atoms:
Tb: 0.750 0.081 0.626  0.02
Tb: 0.250 0.419 0.626  0.02
Tb: 0.250 0.919 0.374  0.02
Tb: 0.750 0.581 0.374  0.02
Ce: 0.250 0.412 0.125  0.97
Ce: 0.250 0.912 0.875  0.97
Ce: 0.750 0.088 0.125  0.97
Ce: 0.750 0.588 0.875  0.97
Te: 0.500 0.750 0.133  -0.01
Te: 0.000 0.750 0.133  -0.01
Te: 0.000 0.250 0.383  -0.01
Te: 0.000 0.250 0.867  -0.01
Te: 0.000 0.750 0.617  -0.01
Te: 0.500 0.750 0.617  -0.01
Te: 0.500 0.250 0.867  -0.01
Te: 0.500 0.250 0.383  -0.01